No. 1
Entry from the Alexandria database: a relaxed Pm6Pr8Ho crystal (PBE-GGA).

a = 8.884 Å, b = 8.884 Å, c = 8.884 Å
α = 63.38°, β = 63.38°, γ = 63.38°
Atoms (fractional coordinates):
Pm 0.040 0.597 0.742
Pm 0.258 0.960 0.403
Pm 0.403 0.258 0.960
Pm 0.597 0.742 0.040
Pm 0.742 0.040 0.597
Pm 0.960 0.403 0.258
Pr 0.078 0.078 0.078
Pr 0.216 0.613 0.251
Pr 0.251 0.216 0.613
Pr 0.387 0.749 0.784
Pr 0.613 0.251 0.216
Pr 0.749 0.784 0.387
Pr 0.784 0.387 0.749
Pr 0.922 0.922 0.922
Ho 0.500 0.500 0.500

The total energy is -0.1707 Ha/atom. Its mass density is 6.74 g cm⁻³. The energy of formation is 1.66 eV per formula unit. The space-group type is No. 148. The value obtained for the polymorph energy (0 for the lowest one) is 0.000 eV/atom.



No. 2
Entry from the Alexandria database: a relaxed PmPaCoRh crystal (PBE-GGA).

a = 4.847 Å, b = 4.847 Å, c = 4.847 Å
α = 60.00°, β = 60.00°, γ = 60.00°
Atoms (fractional coordinates):
Pm 0.000 0.000 0.000
Pa 0.500 0.500 0.500
Co 0.250 0.250 0.250
Rh 0.750 0.750 0.750

The total energy is -0.2736 Ha/atom. Its mass density is 11.09 g cm⁻³. The energy of formation is -1.07 eV per formula unit. The space-group type is No. 216.



Number 1: D(E_F) 1.500 states/eV/atom. Number 2: D(E_F) 1.687 states/eV/atom.